No. 1
Material: ScSb2P
Method: DFT, SCAN
State: PBEsol geometry

The space group is Cmmm (No. 65) and the conventional cell measures 6.246, 7.627 and 3.563 Å, with angles of 90.00, 90.00 and 90.00 degrees. The inequivalent atoms are Sc at (0.000, 0.000, 0.000), Sb at (0.250, 0.250, 0.500) and P at (0.000, 0.500, 0.000).

For the total energy, the calculation gives -24.91 eV per atom. The density of states at the Fermi level comes out at 4.809 states/eV/cell. The value obtained for the formation energy from raw total energies is -11.6 kJ per mole of atoms.



No. 2
Material: Zr6Si7Ni16
Method: DFT, SCAN
State: PBEsol geometry

The space group is Fm-3m (No. 225) and the conventional cell measures 11.343, 11.343 and 11.343 Å, with angles of 90.00, 90.00 and 90.00 degrees. The inequivalent atoms are Zr at (0.000, 0.000, 0.207), Si at (0.000, 0.000, 0.500), Si at (0.000, 0.250, 0.250), Ni at (0.118, 0.118, 0.382) and Ni at (0.169, 0.169, 0.169).

For the total energy, the calculation gives -18.51 eV per atom. The density of states at the Fermi level comes out at 70.492 states/eV/cell. The value obtained for the formation energy from raw total energies is -79.1 kJ per mole of atoms.



No. 3
Material: Li2PtSe
Method: DFT, SCAN
State: PBEsol geometry

The space group is I-4m2 (No. 119) and the conventional cell measures 3.933, 3.933 and 7.303 Å, with angles of 90.00, 90.00 and 90.00 degrees. The inequivalent atoms are Li at (0.000, 0.000, 0.000), Li at (0.000, 0.500, 0.250), Pt at (0.000, 0.000, 0.500) and Se at (0.000, 0.500, 0.750).

For the total energy, the calculation gives -24.43 eV per atom. The density of states at the Fermi level comes out at 1.263 states/eV/cell. The value obtained for the formation energy from raw total energies is -64.2 kJ per mole of atoms.



No. 4
Material: BaNa2Ca2
Method: DFT, SCAN
State: PBEsol geometry

The space group is P4/mbm (No. 127) and the conventional cell measures 10.062, 10.062 and 4.191 Å, with angles of 90.00, 90.00 and 90.00 degrees. The inequivalent atoms are Ba at (0.000, 0.000, 0.000), Na at (0.125, 0.375, 0.000) and Ca at (0.170, 0.670, 0.500).

For the total energy, the calculation gives -13.39 eV per atom. The density of states at the Fermi level comes out at 7.473 states/eV/cell. The formation enthalpy at 0 K is 0.08 eV/atom.



No. 5
Material: CsGaAgF6
Method: DFT, SCAN
State: PBEsol geometry

The space group is Pnma (No. 62) and the conventional cell measures 7.361, 7.489 and 10.342 Å, with angles of 90.00, 90.00 and 90.00 degrees. The inequivalent atoms are Cs at (0.024, 0.250, 0.123), Ga at (0.000, 0.000, 0.500), Ag at (0.194, 0.250, 0.753), F at (0.058, 0.750, 0.170), F at (0.071, 0.250, 0.495), F at (0.121, 0.520, 0.662) and F at (0.222, 0.551, 0.417).

For the total energy, the calculation gives -14.26 eV per atom. The density of states at the Fermi level comes out at 4.374 states/eV/cell. The value obtained for the formation energy from raw total energies is -231.1 kJ per mole of atoms.



No. 6
Material: ReOsRh2
Method: DFT, SCAN
State: PBEsol geometry

The space group is Pmm2 (No. 25) and the conventional cell measures 2.693, 4.312 and 4.740 Å, with angles of 90.00, 90.00 and 90.00 degrees. The inequivalent atoms are Re at (0.000, 0.000, 0.000), Os at (0.000, 0.500, 0.323), Rh at (0.500, 0.000, 0.498) and Rh at (0.500, 0.500, 0.822).

For the total energy, the calculation gives -52.71 eV per atom. The density of states at the Fermi level comes out at 2.816 states/eV/cell. The formation enthalpy at 0 K is -0.08 eV/atom.



No. 7
Material: Mn2ClO3
Method: DFT, SCAN
State: PBEsol geometry

The space group is Pnma (No. 62) and the conventional cell measures 5.729, 6.399 and 8.253 Å, with angles of 90.00, 90.00 and 90.00 degrees. The inequivalent atoms are Mn at (0.000, 0.000, 0.000), Mn at (0.191, 0.250, 0.251), Cl at (0.162, 0.250, 0.529), O at (0.057, 0.555, 0.775) and O at (0.183, 0.250, 0.022).

For the total energy, the calculation gives -12.37 eV per atom. The density of states at the Fermi level comes out at 0.828 states/eV/cell. The value obtained for the formation energy from raw total energies is -177.8 kJ per mole of atoms.



No. 8
Material: Li3NbSn
Method: DFT, SCAN
State: PBEsol geometry

The space group is Pm-3m (No. 221) and the conventional cell measures 4.826, 4.826 and 4.826 Å, with angles of 90.00, 90.00 and 90.00 degrees. The inequivalent atoms are Li at (0.000, 0.000, 0.500), Nb at (0.500, 0.500, 0.500) and Sn at (0.000, 0.000, 0.000).

For the total energy, the calculation gives -14.56 eV per atom. The density of states at the Fermi level comes out at 3.222 states/eV/cell. The formation enthalpy at 0 K is 0.69 eV/atom.